{
  "formula": "FeReMo",
  "functional": "PBE-GGA",
  "state": "optimized geometry",
  "cell": [[4.7651, 0.0000, 0.0000], [2.3826, 4.1408, 0.0000], [2.3826, 0.0000, 8.4189]],
  "species": ["Fe", "Fe", "Fe", "Fe", "Re", "Re", "Re", "Re", "Mo", "Mo", "Mo", "Mo"],
  "frac_coords": [[0.6265, 0.5000, 0.7471], [0.1235, 0.0000, 0.7529], [0.8765, 0.0000, 0.2471], [0.8735, 0.5000, 0.2529], [0.9212, 0.1575, 0.5000], [0.8288, 0.3425, 0.0000], [0.5788, 0.8425, 0.5000], [0.1712, 0.6575, 0.0000], [0.3277, 0.5000, 0.3445], [0.5777, 0.0000, 0.8445], [0.1723, 0.5000, 0.6555], [0.4223, 0.0000, 0.1555]],
  "delta_e_f_ev_per_atom": 0.02,
  "de_polymorph_kj_per_mol_fu": 0.0
}

{
  "formula": "Pr5MgHg",
  "functional": "PBE-GGA",
  "state": "optimized geometry",
  "cell": [[-6.9118, -3.6659, -1.2140], [3.0490, -4.0512, 6.0808], [-1.1922, 9.1211, 2.1096]],
  "species": ["Pr", "Pr", "Pr", "Pr", "Pr", "Pr", "Pr", "Pr", "Pr", "Pr", "Hg", "Hg", "Mg", "Mg"],
  "frac_coords": [[0.6824, 0.8386, 0.6007], [0.8386, 0.6824, 0.1007], [0.5893, 0.1944, 0.8499], [0.1710, 0.8290, 0.7500], [0.8290, 0.1710, 0.2500], [0.1614, 0.3176, 0.8993], [0.8056, 0.4107, 0.6501], [0.3176, 0.1614, 0.3993], [0.1944, 0.5893, 0.3499], [0.4107, 0.8056, 0.1501], [0.0000, 0.0000, 0.0000], [0.0000, 0.0000, 0.5000], [0.5668, 0.4332, 0.2500], [0.4332, 0.5668, 0.7500]],
  "delta_e_f_ev_per_atom": 0.01
}

{
  "formula": "Na2LiGeAu6",
  "functional": "PBE-GGA",
  "state": "optimized geometry",
  "cell": [[-5.6029, -3.4988, 0.6340], [4.1265, -4.9225, 2.9760], [-1.6005, -1.8372, 6.1780]],
  "species": ["Na", "Na", "Li", "Au", "Au", "Au", "Au", "Au", "Au", "Ge"],
  "frac_coords": [[0.2198, 0.8296, 0.3916], [0.7802, 0.1704, 0.6084], [0.5000, 0.5000, 0.0000], [0.3458, 0.2273, 0.5088], [0.7382, 0.2293, 0.1172], [0.6542, 0.7727, 0.4912], [0.2438, 0.3946, 0.8458], [0.7562, 0.6054, 0.1542], [0.2618, 0.7707, 0.8828], [0.0000, 0.0000, 0.0000]],
  "delta_e_f_ev_per_atom": -0.20
}